(1)
# LiMgCr2 (PBE-GGA, optimized geometry)
data_LiMgCr2
_chemical_formula_sum 'Li2 Mg2 Cr4'
_symmetry_space_group_name_H-M 'I -4 m 2'
_symmetry_Int_Tables_number 119
_symmetry_space_group_name_Hall 'I -4 -2'
_cell_length_a 4.513
_cell_length_b 4.513
_cell_length_c 6.366
_cell_angle_alpha 90.00
_cell_angle_beta 90.00
_cell_angle_gamma 90.00
loop_
_atom_site_label
_atom_site_fract_x
_atom_site_fract_y
_atom_site_fract_z
Li1 0.000 0.000 0.000
Mg1 0.000 0.500 0.750
Cr1 0.000 0.000 0.500
Cr2 0.000 0.500 0.250
# Energy of formation, eV per atom: 0.3934
# Magnetization, μB per formula unit: 0.05
# Density, Mg/m³: 3.46

---

(2)
# CuHgGe (PBE-GGA, optimized geometry)
data_CuHgGe
_chemical_formula_sum 'Cu4 Hg4 Ge4'
_symmetry_space_group_name_H-M 'C 1 2/m 1'
_symmetry_Int_Tables_number 12
_cell_length_a 8.786
_cell_length_b 2.998
_cell_length_c 9.746
_cell_angle_alpha 90.00
_cell_angle_beta 112.28
_cell_angle_gamma 90.00
loop_
_symmetry_equiv_pos_as_xyz
'x,y,z'
'-x,-y,-z'
'-x,y,-z'
'x,-y,z'
'x+1/2,y+1/2,z'
'-x+1/2,-y+1/2,-z'
'-x+1/2,y+1/2,-z'
'x+1/2,-y+1/2,z'
loop_
_atom_site_label
_atom_site_fract_x
_atom_site_fract_y
_atom_site_fract_z
Cu1 0.238 0.000 0.377
Hg1 0.178 0.500 0.108
Ge1 0.011 0.500 0.367
# Energy of formation, eV per atom: 0.1528
# Magnetization, μB per formula unit: 0.00
# Density, Mg/m³: 9.42
# Distance to the lowest polymorph of the same formula, meV per atom: 0

---

(3)
# AgPBr (PBE-GGA, optimized geometry)
data_AgPBr
_chemical_formula_sum 'Ag4 P4 Br4'
_symmetry_space_group_name_H-M 'F -4 3 m'
_symmetry_Int_Tables_number 216
_symmetry_space_group_name_Hall 'F -4 2 3'
_cell_length_a 6.577
_cell_length_b 6.577
_cell_length_c 6.577
_cell_angle_alpha 90.00
_cell_angle_beta 90.00
_cell_angle_gamma 90.00
loop_
_atom_site_label
_atom_site_fract_x
_atom_site_fract_y
_atom_site_fract_z
Ag1 0.000 0.000 0.000
P1 0.250 0.250 0.250
Br1 0.250 0.250 0.750
# Formation energy (no corrections), meV/atom: 733
# Magnetization, μB per formula unit: 1.37
# Density, Mg/m³: 5.11
# Distance to the lowest polymorph of the same formula, meV per atom: 764

---

(4)
# CdGe2Br (PBE-GGA, optimized geometry)
data_CdGe2Br
_chemical_formula_sum 'Cd4 Ge8 Br4'
_symmetry_space_group_name_H-M 'I -4 2 d'
_symmetry_Int_Tables_number 122
_symmetry_space_group_name_Hall 'I -4 2bw'
_cell_length_a 6.002
_cell_length_b 6.002
_cell_length_c 14.049
_cell_angle_alpha 90.00
_cell_angle_beta 90.00
_cell_angle_gamma 90.00
loop_
_atom_site_label
_atom_site_fract_x
_atom_site_fract_y
_atom_site_fract_z
Cd1 0.000 0.000 0.000
Ge1 0.223 0.250 0.125
Br1 0.000 0.000 0.500
# Formation energy (no corrections), meV/atom: 436
# Magnetization, μB per formula unit: 0.00
# Density, Mg/m³: 4.43
# Distance to the lowest polymorph of the same formula, meV per atom: 48

---

(5)
# P3C (PBE-GGA, optimized geometry)
data_P3C
_chemical_formula_sum 'P3 C1'
_symmetry_space_group_name_H-M 'P -6 m 2'
_symmetry_Int_Tables_number 187
_symmetry_space_group_name_Hall 'P -6 2'
_cell_length_a 2.8173
_cell_length_b 2.8173
_cell_length_c 7.0567
_cell_angle_alpha 90.00
_cell_angle_beta 90.00
_cell_angle_gamma 120.00
loop_
_atom_site_label
_atom_site_fract_x
_atom_site_fract_y
_atom_site_fract_z
P1 0.0000 0.0000 0.0000
P2 0.6667 0.3333 0.3190
C1 0.0000 0.0000 0.5000
# Energy of formation, eV per atom: 1.1252
# Magnetization, μB per formula unit: 0.00
# Density, Mg/m³: 3.59
# Distance to the lowest polymorph of the same formula, meV per atom: 717

---

(6)
# K2NaPm (PBE-GGA, optimized geometry)
data_K2NaPm
_chemical_formula_sum 'K6 Na3 Pm3'
_symmetry_space_group_name_H-M 'R -3 m'
_symmetry_Int_Tables_number 166
_symmetry_space_group_name_Hall '-R 3 2"'
_cell_length_a 3.7955
_cell_length_b 3.7955
_cell_length_c 43.8100
_cell_angle_alpha 90.00
_cell_angle_beta 90.00
_cell_angle_gamma 120.00
loop_
_atom_site_label
_atom_site_fract_x
_atom_site_fract_y
_atom_site_fract_z
K1 0.0000 0.0000 0.0855
Na1 0.0000 0.0000 0.5000
Pm1 0.0000 0.0000 0.0000
# Energy of formation, eV per atom: 0.3168
# Magnetization, μB per formula unit: 0.00
# Density, Mg/m³: 2.24

---

(7)
# PuTl2Ag2O6 (PBE-GGA, optimized geometry)
data_PuTl2Ag2O6
_chemical_formula_sum 'Pu3 Tl6 Ag6 O18'
_symmetry_space_group_name_H-M 'R -3 m'
_symmetry_Int_Tables_number 166
_symmetry_space_group_name_Hall '-R 3 2"'
_cell_length_a 6.4886
_cell_length_b 6.4886
_cell_length_c 16.2808
_cell_angle_alpha 90.00
_cell_angle_beta 90.00
_cell_angle_gamma 120.00
loop_
_atom_site_label
_atom_site_fract_x
_atom_site_fract_y
_atom_site_fract_z
Pu1 0.0000 0.0000 0.0000
Tl1 0.0000 0.0000 0.2148
Ag1 0.0000 0.0000 0.4080
O1 0.0517 0.5259 0.7429
# Formation energy (no corrections), meV/atom: -1103
# Magnetization, μB per formula unit: 0.62
# Density, Mg/m³: 8.09

---

(8)
# Nd5Ho7 (PBE-GGA, optimized geometry)
data_Nd5Ho7
_chemical_formula_sum 'Nd10 Ho14'
_symmetry_space_group_name_H-M 'C 1 2/m 1'
_symmetry_Int_Tables_number 12
_cell_length_a 9.659
_cell_length_b 5.756
_cell_length_c 14.797
_cell_angle_alpha 90.00
_cell_angle_beta 103.61
_cell_angle_gamma 90.00
loop_
_symmetry_equiv_pos_as_xyz
'x,y,z'
'-x,-y,-z'
'-x,y,-z'
'x,-y,z'
'x+1/2,y+1/2,z'
'-x+1/2,-y+1/2,-z'
'-x+1/2,y+1/2,-z'
'x+1/2,-y+1/2,z'
loop_
_atom_site_label
_atom_site_fract_x
_atom_site_fract_y
_atom_site_fract_z
Nd1 0.000 0.000 0.000
Nd2 0.116 0.500 0.799
Nd3 0.138 0.000 0.436
Ho1 0.000 0.500 0.500
Ho2 0.051 0.000 0.214
Ho3 0.185 0.500 0.083
Ho4 0.238 0.000 0.672
# Energy of formation, eV per atom: 0.1813
# Magnetization, μB per formula unit: 0.11
# Density, Mg/m³: 7.79
# Distance to the lowest polymorph of the same formula, meV per atom: 177

---

(9)
# LiPmS2 (PBE-GGA, optimized geometry)
data_LiPmS2
_chemical_formula_sum 'Li1 Pm1 S2'
_symmetry_space_group_name_H-M 'P 4/m m m'
_symmetry_Int_Tables_number 123
_symmetry_space_group_name_Hall '-P 4 2'
_cell_length_a 4.760
_cell_length_b 4.760
_cell_length_c 3.473
_cell_angle_alpha 90.00
_cell_angle_beta 90.00
_cell_angle_gamma 90.00
loop_
_atom_site_label
_atom_site_fract_x
_atom_site_fract_y
_atom_site_fract_z
Li1 0.000 0.000 0.000
Pm1 0.500 0.500 0.000
S1 0.000 0.500 0.500
# Formation energy (no corrections), meV/atom: -1470
# Magnetization, μB per formula unit: 0.00
# Density, Mg/m³: 4.56

---

(10)
# MgPbBr2 (PBE-GGA, optimized geometry)
data_MgPbBr2
_chemical_formula_sum 'Mg3 Pb3 Br6'
_symmetry_space_group_name_H-M 'R -3 m'
_symmetry_Int_Tables_number 166
_symmetry_space_group_name_Hall '-R 3 2"'
_cell_length_a 3.6633
_cell_length_b 3.6633
_cell_length_c 38.2329
_cell_angle_alpha 90.00
_cell_angle_beta 90.00
_cell_angle_gamma 120.00
loop_
_atom_site_label
_atom_site_fract_x
_atom_site_fract_y
_atom_site_fract_z
Mg1 0.0000 0.0000 0.0000
Pb1 0.0000 0.0000 0.5000
Br1 0.0000 0.0000 0.3748
# Formation energy (no corrections), meV/atom: -911
# Magnetization, μB per formula unit: 0.00
# Density, Mg/m³: 4.39
# Distance to the lowest polymorph of the same formula, meV per atom: 4

---

(11)
# PmC6N8 (PBE-GGA, optimized geometry)
data_PmC6N8
_chemical_formula_sum 'Pm3 C18 N24'
_symmetry_space_group_name_H-M 'R -3'
_symmetry_Int_Tables_number 148
_symmetry_space_group_name_Hall '-R 3'
_cell_length_a 7.0793
_cell_length_b 7.0793
_cell_length_c 10.1670
_cell_angle_alpha 90.00
_cell_angle_beta 90.00
_cell_angle_gamma 120.00
loop_
_atom_site_label
_atom_site_fract_x
_atom_site_fract_y
_atom_site_fract_z
Pm1 0.0000 0.0000 0.0000
C1 0.1011 0.5502 0.3350
N1 0.0000 0.0000 0.3279
N2 0.0006 0.6744 0.0287
# Formation energy (no corrections), meV/atom: 449
# Magnetization, μB per formula unit: 0.00
# Density, Mg/m³: 3.72

---

(12)
# NaNb2F (PBE-GGA, optimized geometry)
data_NaNb2F
_chemical_formula_sum 'Na4 Nb8 F4'
_symmetry_space_group_name_H-M 'I 41/a m d'
_symmetry_Int_Tables_number 141
_cell_length_a 4.941
_cell_length_b 4.941
_cell_length_c 15.304
_cell_angle_alpha 90.00
_cell_angle_beta 90.00
_cell_angle_gamma 90.00
loop_
_symmetry_equiv_pos_as_xyz
'x,y,z'
'-x,-y,-z'
'-y+1/4,x+3/4,z+1/4'
'y+1/4,-x+3/4,-z+1/4'
'-x+1/2,-y,z+1/2'
'x+1/2,y,-z+1/2'
'y+1/4,-x+1/4,z+3/4'
'-y+1/4,x+1/4,-z+3/4'
'x,-y,-z'
'-x,y,z'
'-y+1/4,-x+1/4,-z+3/4'
'y+1/4,x+1/4,z+3/4'
'-x+1/2,y,-z+1/2'
'x+1/2,-y,z+1/2'
'y+1/4,x+3/4,-z+1/4'
'-y+1/4,-x+3/4,z+1/4'
'x+1/2,y+1/2,z+1/2'
'-x+1/2,-y+1/2,-z+1/2'
'-y+3/4,x+1/4,z+3/4'
'y+3/4,-x+1/4,-z+3/4'
'-x,-y+1/2,z'
'x,y+1/2,-z'
'y+3/4,-x+3/4,z+1/4'
'-y+3/4,x+3/4,-z+1/4'
'x+1/2,-y+1/2,-z+1/2'
'-x+1/2,y+1/2,z+1/2'
'-y+3/4,-x+3/4,-z+1/4'
'y+3/4,x+3/4,z+1/4'
'-x,y+1/2,-z'
'x,-y+1/2,z'
'y+3/4,x+1/4,-z+3/4'
'-y+3/4,-x+1/4,z+3/4'
loop_
_atom_site_label
_atom_site_fract_x
_atom_site_fract_y
_atom_site_fract_z
Na1 0.000 0.250 0.375
Nb1 0.000 0.000 0.000
F1 0.000 0.250 0.875
# Formation energy (no corrections), meV/atom: 506
# Magnetization, μB per formula unit: 0.00
# Density, Mg/m³: 4.05
# Distance to the lowest polymorph of the same formula, meV per atom: 0

---

DOS at the Fermi energy list, top to bottom, in states/eV/atom: 0.57 0.35 0.88 0.54 0.49 0.83 0.82 1.68 0.20 0.18 0.29 0.63